This record from Alexandria describes crystalline Li2AuCl at its relaxed geometry. The functional is PBE.

Lattice parameters (Å, degrees): 4.7855 4.7855 4.7855 60.00 60.00 60.00
Sites, in units of the cell vectors:
Au 0.5000 0.5000 0.5000
Cl 0.7500 0.7500 0.7500
Li 0.0000 0.0000 0.0000
Li 0.2500 0.2500 0.2500

Calculated values
Fermi-level density of states in states/eV/cell: 0.2
Total DFT energy (no corrections) in eV/atom: -2.68
Symmetry: F-43m, No. 216
Spin magnetization in μB/cell: 0.0


This record from Alexandria describes crystalline ZrBeV2Te at its relaxed geometry. The functional is PBE.

Lattice parameters (Å, degrees): 4.8615 5.2718 4.8615 90.00 90.00 90.00
Sites, in units of the cell vectors:
Be 0.5000 0.5000 0.5000
Te 0.0000 0.0000 0.0000
Zr 0.0000 0.5000 0.0000
V 0.0000 0.0000 0.5000
V 0.5000 0.0000 0.0000

Calculated values
Fermi-level density of states in states/eV/cell: 5.0
Total DFT energy (no corrections) in eV/atom: -5.36
Symmetry: P4/mmm, No. 123
Spin magnetization in μB/cell: 4.5


This record from Alexandria describes crystalline TcMo at its relaxed geometry. The functional is PBE.

Lattice parameters (Å, degrees): 7.6061 7.6061 7.6061 90.00 90.00 90.00
Sites, in units of the cell vectors:
Tc 0.3684 0.3684 0.3684
Tc 0.3684 0.6316 0.6316
Tc 0.6316 0.3684 0.6316
Tc 0.6316 0.6316 0.3684
Tc 0.8684 0.8684 0.8684
Tc 0.8684 0.1316 0.1316
Tc 0.1316 0.8684 0.1316
Tc 0.1316 0.1316 0.8684
Mo 0.1885 0.1885 0.1885
Mo 0.1885 0.8115 0.8115
Mo 0.8115 0.1885 0.8115
Mo 0.8115 0.8115 0.1885
Mo 0.6885 0.6885 0.6885
Mo 0.6885 0.3115 0.3115
Mo 0.3115 0.6885 0.3115
Mo 0.3115 0.3115 0.6885

Calculated values
Energy relative to the elements in eV/atom: 2.018
Fermi-level density of states in states/eV/cell: 25.1
Symmetry: I-43m, No. 217
Spin magnetization in μB/cell: 3.9


This record from Alexandria describes crystalline Er11Hg9Pd4 at its relaxed geometry. The functional is PBE.

Lattice parameters (Å, degrees): 3.6235 13.0221 13.0221 112.96 90.00 90.00
Sites, in units of the cell vectors:
Er 0.0000 0.5863 0.9257
Er 0.0000 0.4137 0.0743
Er 0.0000 0.9257 0.5863
Er 0.0000 0.0743 0.4137
Er 0.0000 0.6312 0.3688
Er 0.0000 0.3688 0.6312
Er 0.0000 0.8337 0.1663
Er 0.0000 0.1663 0.8337
Er 0.0000 0.0000 0.0000
Er 0.0000 0.7024 0.7024
Er 0.0000 0.2976 0.2976
Hg 0.5000 0.6304 0.1514
Hg 0.5000 0.3696 0.8486
Hg 0.5000 0.1514 0.6304
Hg 0.5000 0.8486 0.3696
Hg 0.5000 0.7864 0.9368
Hg 0.5000 0.2136 0.0632
Hg 0.5000 0.9368 0.7864
Hg 0.5000 0.0632 0.2136
Hg 0.5000 0.5000 0.5000
Pd 0.5000 0.5509 0.7487
Pd 0.5000 0.4491 0.2513
Pd 0.5000 0.7487 0.5509
Pd 0.5000 0.2513 0.4491

Calculated values
Energy relative to the elements in eV/atom: -0.640
Fermi-level density of states in states/eV/cell: 18.4
Symmetry: Cmmm, No. 65
Spin magnetization in μB/cell: 0.0